1.
Density functional theory data (PBE-GGA) for a relaxed MgIrPb2 crystal.

Calculated values
- E_form: 0.13 eV/atom

abc: 7.0975 7.0975 7.0975
angles: 153.90 141.82 46.83
Last column: nearest neighbours and their distance in Å.
Fractional coordinates of all 4 atoms:
1 Mg 0.0000 0.0000 0.0000  2 Ir 2.74
2 Ir 0.1706 0.6706 0.5000  2 Mg 2.74, 4 Pb 2.82
3 Pb 0.3725 0.3725 0.0000  2 Ir 3.08, 4 Pb 3.21-3.42, 4 Mg 3.27
4 Pb 0.6796 0.1796 0.5000  4 Ir 2.82


2.
Density functional theory data (PBE-GGA) for a relaxed BaInP2 crystal.

Calculated values
- E_form: -0.30 eV/atom

abc: 4.3048 4.3048 7.0913
angles: 107.60 107.60 60.16
Last column: nearest neighbours and their distance in Å.
Fractional coordinates of all 4 atoms:
1 Ba 0.0000 0.0000 0.0000  6 P 3.20-3.21
2 In 0.5000 0.5000 0.5000  6 P 2.80-2.81
3 P 0.2326 0.2326 0.6959  3 In 2.80-2.81
4 P 0.7674 0.7674 0.3041  3 In 2.80-2.81


3.
Density functional theory data (PBE-GGA) for a relaxed Ac6NdSm4 crystal.

Calculated values
- E_form: 0.31 eV/atom

abc: 11.3779 11.3779 11.3779
angles: 145.19 145.19 50.05
Last column: nearest neighbours and their distance in Å.
Fractional coordinates of all 11 atoms:
1 Ac 0.0000 0.5000 0.5000  2 Nd 3.40, 4 Sm 3.72
2 Ac 0.0090 0.6117 0.0000  5 Sm 3.62-3.71, 1 Ac 3.82
3 Ac 0.3883 0.3883 0.3973  5 Sm 3.62-3.71, 1 Ac 3.82
4 Ac 0.5000 0.0000 0.5000  2 Nd 3.40, 4 Sm 3.72
5 Ac 0.6117 0.0090 0.0000  5 Sm 3.62-3.71, 1 Ac 3.82
6 Ac 0.9910 0.9910 0.6027  5 Sm 3.62-3.71, 1 Ac 3.82
7 Nd 0.5000 0.5000 0.0000  4 Sm 3.33, 4 Ac 3.40
8 Sm 0.1742 0.1742 0.6181  1 Nd 3.33, 7 Ac 3.62-3.72, 1 Sm 3.68
9 Sm 0.4439 0.8258 0.0000  1 Nd 3.33, 7 Ac 3.62-3.72, 1 Sm 3.68
10 Sm 0.5561 0.5561 0.3819  1 Nd 3.33, 7 Ac 3.62-3.72, 1 Sm 3.68
11 Sm 0.8258 0.4439 0.0000  1 Nd 3.33, 7 Ac 3.62-3.72, 1 Sm 3.68


no.,DOS(E_F) (states/eV/cell),total DFT energy (no corrections) (eV per cell)
1,2.0,-17.34
2,5.0,-16.68
3,18.2,-44.86